! FeCo2 (PBE, relaxed); values from VASP
&SYSTEM
  ibrav = 0, nat = 6, ntyp = 2
/
ATOMIC_SPECIES
Fe 55.84 Fe.upf
Co 58.93 Co.upf
CELL_PARAMETERS angstrom
-1.225 6.690 -2.718
0.020 -7.285 0.754
-3.599 0.212 2.143
ATOMIC_POSITIONS angstrom
Fe -3.142 -1.925 1.069
Fe -1.661 1.541 -0.890
Co -3.359 0.508 0.465
Co -1.444 -0.892 -0.286
Co -1.229 -3.310 0.315
Co -3.575 2.927 -0.136
! Crystal system: orthorhombic
! VASP energy, eV per cell: -43.17